Entry 1:
{"formula": "NbCuNiHg", "functional": "PBE", "state": "relaxed", "cell": [[0.000, 3.141, 3.141], [3.141, 0.000, 3.141], [3.141, 3.141, 0.000]], "species": ["Ni", "Hg", "Cu", "Nb"], "fractional_positions": [[0.500, 0.500, 0.500], [0.000, 0.000, 0.000], [0.750, 0.750, 0.750], [0.250, 0.250, 0.250]], "polymorph_energy_mev_per_atom": 156, "formation_energy_ev_per_atom": 0.2485}

---

Entry 2:
{"formula": "TbCdB", "functional": "PBE", "state": "relaxed", "cell": [[0.041, -4.421, 0.661], [-2.875, -2.617, -2.206], [1.477, -2.728, -3.219]], "species": ["B", "Cd", "Tb"], "fractional_positions": [[0.250, 0.250, 0.250], [0.000, 0.000, 0.000], [0.750, 0.750, 0.750]], "polymorph_energy_mev_per_atom": 744}

---

Entry 3:
{"formula": "AcNpZn", "functional": "PBE", "state": "relaxed", "cell": [[0.000, 3.606, 3.606], [3.606, 0.000, 3.606], [3.606, 3.606, 0.000]], "species": ["Zn", "Np", "Ac"], "fractional_positions": [[0.750, 0.750, 0.750], [0.250, 0.250, 0.250], [0.000, 0.000, 0.000]], "polymorph_energy_mev_per_atom": 437, "formation_energy_ev_per_atom": 1.0009}

---

Entry 4:
{"formula": "Ba2ScW3", "functional": "PBE", "state": "relaxed", "cell": [[-3.093, 0.193, 4.563], [-2.354, -0.982, -4.890], [0.781, -5.711, 0.771]], "species": ["W", "W", "W", "Ba", "Ba", "Sc"], "fractional_positions": [[0.000, 0.500, 0.500], [0.500, 0.000, 0.500], [0.500, 0.500, 0.500], [0.667, 0.333, 0.000], [0.333, 0.667, 0.000], [0.000, 0.000, 0.000]]}

---

Entry 5:
{"formula": "Lu2ReHg", "functional": "PBE", "state": "relaxed", "cell": [[0.000, 3.453, 3.453], [3.453, 0.000, 3.453], [3.453, 3.453, 0.000]], "species": ["Re", "Lu", "Lu", "Hg"], "fractional_positions": [[0.750, 0.750, 0.750], [0.000, 0.000, 0.000], [0.250, 0.250, 0.250], [0.500, 0.500, 0.500]], "formation_energy_ev_per_atom": 0.3118}

---

Entry 6:
{"formula": "LaSmAsO", "functional": "PBE", "state": "relaxed", "cell": [[4.245, 0.000, 0.000], [0.000, 8.213, 0.000], [0.000, 0.000, 5.908]], "species": ["Sm", "Sm", "O", "O", "As", "As", "La", "La"], "fractional_positions": [[0.000, 0.302, 0.938], [0.000, 0.698, 0.438], [0.500, 0.179, 0.890], [0.500, 0.821, 0.390], [0.000, 0.349, 0.436], [0.000, 0.651, 0.936], [0.500, 0.887, 0.990], [0.500, 0.113, 0.490]], "polymorph_energy_mev_per_atom": 42}

---

Entry 7:
{"formula": "TmTaPO", "functional": "PBE", "state": "relaxed", "cell": [[4.073, 0.000, 0.000], [0.000, 4.073, 0.000], [0.000, 0.000, 7.439]], "species": ["Ta", "Ta", "Tm", "Tm", "P", "P", "O", "O"], "fractional_positions": [[0.000, 0.500, 0.110], [0.500, 0.000, 0.890], [0.000, 0.000, 0.500], [0.500, 0.500, 0.500], [0.000, 0.500, 0.748], [0.500, 0.000, 0.252], [0.500, 0.500, 0.000], [0.000, 0.000, 0.000]], "polymorph_energy_mev_per_atom": 1079}

---

Entry 8:
{"formula": "ScBe2Fe2", "functional": "PBE", "state": "relaxed", "cell": [[4.042, 0.340, 3.747], [-0.493, 1.583, 5.267], [-2.194, -3.304, -3.842]], "species": ["Fe", "Fe", "Sc", "Be", "Be"], "fractional_positions": [[0.250, 0.750, 0.500], [0.750, 0.250, 0.500], [0.000, 0.000, 0.000], [0.609, 0.609, 0.000], [0.391, 0.391, 0.000]]}

---

Entry 9:
{"formula": "Pd2Br3Cl3", "functional": "PBE", "state": "relaxed", "cell": [[-0.776, -5.758, -2.980], [4.556, 1.381, -3.854], [4.113, 0.532, 5.053]], "species": ["Cl", "Cl", "Cl", "Pd", "Pd", "Br", "Br", "Br"], "fractional_positions": [[0.280, 0.500, 0.992], [0.720, 0.000, 0.004], [0.011, 0.000, 0.711], [0.000, 0.751, 0.998], [0.000, 0.249, 0.998], [0.328, 0.000, 0.319], [0.674, 0.500, 0.676], [0.986, 0.500, 0.301]], "polymorph_energy_mev_per_atom": 0}

---

Entry 10:
{"formula": "PrNbW", "functional": "PBE", "state": "relaxed", "cell": [[0.000, 3.318, 3.318], [3.318, 0.000, 3.318], [3.318, 3.318, 0.000]], "species": ["W", "Pr", "Nb"], "fractional_positions": [[0.000, 0.000, 0.000], [0.750, 0.750, 0.750], [0.250, 0.250, 0.250]], "polymorph_energy_mev_per_atom": 0, "formation_energy_ev_per_atom": 0.8881}

---

Entry 11:
{"formula": "LiHfNi", "functional": "PBE", "state": "relaxed", "cell": [[-1.299, -3.663, 1.018], [0.946, -1.542, 3.588], [-2.833, -0.416, 2.819]], "species": ["Ni", "Hf", "Li"], "fractional_positions": [[0.750, 0.750, 0.750], [0.250, 0.250, 0.250], [0.000, 0.000, 0.000]]}

---

Entry 12:
{"formula": "TbAl2", "functional": "PBE", "state": "relaxed", "cell": [[-3.773, -3.891, 1.989], [4.309, -3.751, 0.836], [0.705, 1.964, 5.179]], "species": ["Al", "Al", "Al", "Al", "Tb", "Tb"], "fractional_positions": [[0.151, 0.849, 0.500], [0.349, 0.349, 0.000], [0.849, 0.151, 0.500], [0.651, 0.651, 0.000], [0.500, 0.500, 0.500], [0.000, 0.000, 0.000]]}

---

Respective E values: -4.67; -3.39; -5.05; -6.39; -5.13; -6.75; -7.53; -6.22; -2.86; -8.39; -5.30; -3.49 eV per atom.